! Ba5P3O12F (GGA-PBEsol, optimized geometry); values from VASP
! symmetry: No. 176
&SYSTEM
  ibrav = 0, nat = 42, ntyp = 4
/
ATOMIC_SPECIES
O 16.00 O.upf
Ba 137.33 Ba.upf
P 30.97 P.upf
F 19.00 F.upf
ATOMIC_POSITIONS angstrom
O -8.1504 -0.5427 4.7856
O -5.4870 4.3063 3.3713
O -6.7209 2.1125 3.5919
O -6.3930 3.1384 1.2843
O -9.2282 1.5958 5.5831
O -4.4092 2.1677 2.5737
O -5.3253 -0.5309 0.3400
O -7.6371 -0.5861 1.3581
O -7.0408 0.8327 6.5913
O -4.7890 -2.2991 5.8060
O -9.3457 2.1051 0.0647
O -3.8958 2.1243 -0.8537
O -4.9930 2.7452 8.2246
O -5.0055 0.7489 -2.6594
O -7.2573 3.8807 -1.8741
O -3.9152 0.6067 7.4270
O -6.5592 -2.7247 0.5606
O -8.1311 0.9749 -3.4952
O -4.3299 2.4943 5.7995
O -2.7006 -0.5235 3.8671
O -2.8180 -0.0142 -1.6513
O -7.0532 -1.1636 -4.2927
O -7.7164 -0.9127 -1.8677
O -5.6533 -1.5568 2.6476
Ba -6.8550 3.4490 5.9376
Ba -2.4135 -1.6601 7.3027
Ba -9.6328 3.2417 -3.3708
Ba -5.2061 0.1773 4.7175
Ba -9.0812 1.2211 2.7924
Ba -4.2819 4.6615 0.0532
Ba -7.7643 -3.0799 3.8786
Ba -5.1913 -1.8674 -2.0058
Ba -2.9651 0.3605 1.1395
Ba -6.8402 1.4043 -0.7856
P -8.4111 0.3507 6.0319
P -3.6352 1.2309 -2.1000
P -8.1230 -0.5718 -3.3310
P -5.7572 2.9353 2.6879
P -3.9233 2.1534 7.2629
P -6.2890 -1.3538 1.2440
F -0.8248 1.6365 0.6103
F -2.4743 4.9095 1.8310
CELL_PARAMETERS angstrom
-3.2991 6.5460 2.4413
-6.8257 -0.6398 -7.5086
-1.9214 -4.3246 8.9992

! BaPO3F (GGA-PBEsol, optimized geometry); values from VASP
! symmetry: No. 14
&SYSTEM
  ibrav = 0, nat = 48, ntyp = 4
/
ATOMIC_SPECIES
O 16.00 O.upf
F 19.00 F.upf
P 30.97 P.upf
Ba 137.33 Ba.upf
ATOMIC_POSITIONS angstrom
O 5.9839 2.3934 3.4697
O 8.1233 2.8018 1.2287
O 3.4599 -0.4536 7.5725
O 8.0773 -1.1050 8.0976
O 5.1799 3.5670 8.1146
O 7.8078 6.2677 5.7114
O 4.9204 1.6438 5.6591
O 3.4433 5.4194 8.3508
O 0.8320 2.2472 5.1693
O 3.5159 3.4051 0.7390
O 0.8880 0.7044 3.1422
O 5.2360 7.4257 1.2811
O 7.0598 1.2355 7.9001
O 3.7294 6.9192 5.1863
O 0.9046 6.5774 3.9204
O 1.6360 5.7366 0.9535
O 0.5725 4.1704 7.6248
O 4.9664 0.0529 3.6672
O 5.2525 1.5527 0.5028
O 3.7754 5.3283 3.1945
O 2.7119 4.5787 5.3838
O 7.7912 0.3948 4.9331
O 7.8638 4.7250 3.6842
O 0.6185 8.0771 0.7560
F 3.5214 2.0584 3.6616
F 5.1744 4.9138 5.1920
F 7.1801 7.0883 3.4604
F 7.8693 6.0717 0.7616
F 0.8265 0.9004 8.0919
F 1.5157 -0.1162 5.3932
F 2.8322 1.0417 0.9629
F 5.8636 5.9304 7.8907
P 8.2045 6.0995 4.2542
P 3.8566 2.0306 0.1690
P 0.6188 6.6349 0.2800
P 3.7291 5.4769 4.7103
P 8.0770 0.3372 8.5736
P 4.9667 1.4952 4.1432
P 4.8392 4.9416 8.6845
P 0.4913 0.8726 4.5994
Ba 7.1460 0.1717 1.8647
Ba 1.5498 6.8004 6.9889
Ba 2.7981 7.9583 2.5586
Ba 5.8881 4.4288 1.6728
Ba 5.8977 -0.9862 6.2950
Ba 1.5402 3.7012 2.7505
Ba 7.1556 3.2709 6.1031
Ba 2.8077 2.5433 7.1808
CELL_PARAMETERS angstrom
8.6958 0.0000 0.0000
0.0000 9.2880 -0.0071
0.0000 -2.3159 8.8607

! Ba2PdO2F2 (GGA-PBEsol, optimized geometry); values from VASP
! symmetry: No. 139
&SYSTEM
  ibrav = 0, nat = 7, ntyp = 4
/
ATOMIC_SPECIES
O 16.00 O.upf
F 19.00 F.upf
Pd 106.42 Pd.upf
Ba 137.33 Ba.upf
ATOMIC_POSITIONS angstrom
O 2.0669 0.0000 0.0000
O 0.0000 2.0669 0.0000
F 0.0000 2.0669 3.5076
F 2.0669 0.0000 3.5076
Pd 0.0000 0.0000 0.0000
Ba 2.0669 2.0669 1.8913
Ba 0.0000 0.0000 5.1239
CELL_PARAMETERS angstrom
4.1338 0.0000 0.0000
0.0000 4.1338 0.0000
-2.0669 -2.0669 7.0152

! BaSrPdO2F2 (GGA-PBEsol, optimized geometry); values from VASP
! symmetry: No. 107
&SYSTEM
  ibrav = 0, nat = 7, ntyp = 5
/
ATOMIC_SPECIES
Ba 137.33 Ba.upf
F 19.00 F.upf
O 16.00 O.upf
Pd 106.42 Pd.upf
Sr 87.62 Sr.upf
ATOMIC_POSITIONS angstrom
Ba 2.4281 2.1060 3.6924
F 0.0472 2.6484 2.7800
F 0.8151 0.0590 3.7519
O -1.4882 1.3167 0.4452
O -0.7202 -1.2727 1.4171
Pd 0.9385 2.7736 6.6478
Sr -1.4682 0.6861 2.9879
CELL_PARAMETERS angstrom
-3.1392 2.4923 0.6428
-1.6033 -2.6866 2.5866
5.7169 2.9991 3.4731

! BaSr3Pd2O4F4 (GGA-PBEsol, optimized geometry); values from VASP
! symmetry: No. 99
&SYSTEM
  ibrav = 0, nat = 14, ntyp = 5
/
ATOMIC_SPECIES
F 19.00 F.upf
Pd 106.42 Pd.upf
Sr 87.62 Sr.upf
O 16.00 O.upf
Ba 137.33 Ba.upf
ATOMIC_POSITIONS angstrom
F -5.1449 3.3059 7.9028
F -7.3527 2.4262 6.3170
F -3.3363 -0.2199 2.1931
F -1.1285 0.6599 3.7789
Pd -4.1989 0.2648 5.6990
Pd -0.0235 0.0155 0.0241
Sr -5.2992 3.4912 5.4411
Sr -7.2126 2.2502 8.7933
Sr -3.0830 2.0311 3.1655
O -9.3226 3.7239 8.3396
O -5.3670 1.1179 4.2781
O -7.1147 4.6037 9.9254
O -3.1592 1.9977 5.8639
Ba -1.2225 -1.6961 2.6429
CELL_PARAMETERS angstrom
-2.2975 -3.3222 -0.1060
2.1182 -1.5626 3.0656
-8.3117 5.4758 8.5341

! BaPtO2F (GGA-PBEsol, optimized geometry); values from VASP
! symmetry: No. 123
&SYSTEM
  ibrav = 0, nat = 5, ntyp = 4
/
ATOMIC_SPECIES
F 19.00 F.upf
O 16.00 O.upf
Ba 137.33 Ba.upf
Pt 195.08 Pt.upf
ATOMIC_POSITIONS angstrom
F 0.0000 0.0000 0.0000
O 1.0164 0.6817 1.9905
O -0.8810 -1.8696 1.0901
Ba -1.4202 -0.1908 3.5335
Pt -1.5557 0.9971 0.4529
CELL_PARAMETERS angstrom
-3.1113 1.9942 0.9057
-1.7620 -3.7392 2.1803
2.0328 1.3634 3.9810

! RbBaOF2 (GGA-PBEsol, optimized geometry); values from VASP
! symmetry: No. 123
&SYSTEM
  ibrav = 0, nat = 5, ntyp = 4
/
ATOMIC_SPECIES
O 16.00 O.upf
F 19.00 F.upf
Ba 137.33 Ba.upf
Rb 85.47 Rb.upf
ATOMIC_POSITIONS angstrom
O -2.1937 0.0963 -0.6061
F -0.6759 -0.1115 2.4287
F 0.0730 2.5187 0.1360
Ba 0.0000 0.0000 0.0000
Rb -2.7967 2.5035 1.9585
CELL_PARAMETERS angstrom
-4.3875 0.1926 -1.2122
-1.3519 -0.2231 4.8573
0.1460 5.0374 0.2720

! BaTiOF4 (GGA-PBEsol, optimized geometry); values from VASP
! symmetry: No. 57
&SYSTEM
  ibrav = 0, nat = 28, ntyp = 4
/
ATOMIC_SPECIES
Ba 137.33 Ba.upf
Ti 47.87 Ti.upf
F 19.00 F.upf
O 16.00 O.upf
ATOMIC_POSITIONS angstrom
Ba 3.9016 4.1424 12.4115
Ba 1.2313 4.1424 5.5681
Ba 3.9016 1.3808 8.1186
Ba 1.2313 1.3808 1.2752
Ti 4.1781 4.1424 2.4149
Ti 0.9549 4.1424 9.2582
Ti 4.1781 1.3808 4.4284
Ti 0.9549 1.3808 11.2718
F 0.5257 1.3808 5.6781
F 1.6405 2.8255 7.9546
F 0.5257 4.1424 1.1653
F 2.6199 4.1424 10.0702
F 3.4924 5.4592 1.1112
F 3.4924 0.0639 5.7321
F 2.5130 4.1424 3.2268
F 4.6072 1.3808 12.5214
F 2.5130 1.3808 3.6165
F 3.4924 2.8255 1.1112
F 2.6199 1.3808 10.4598
F 3.4924 2.6976 5.7321
F 1.6405 0.0639 12.5755
F 4.6072 4.1424 8.0086
F 1.6405 5.4592 7.9546
F 1.6405 2.6976 12.5755
O 0.2285 0.0000 10.2650
O 0.2285 2.7616 10.2650
O 4.9044 2.7616 3.4217
O 4.9044 0.0000 3.4217
CELL_PARAMETERS angstrom
5.1329 0.0000 0.0000
0.0000 5.5231 0.0000
0.0000 0.0000 13.6867

! BaTlO2F (GGA-PBEsol, optimized geometry); values from VASP
! symmetry: No. 123
&SYSTEM
  ibrav = 0, nat = 5, ntyp = 4
/
ATOMIC_SPECIES
Ba 137.33 Ba.upf
O 16.00 O.upf
Tl 204.38 Tl.upf
F 19.00 F.upf
ATOMIC_POSITIONS angstrom
Ba 0.0000 0.0000 0.0000
O 2.3146 0.0000 0.0000
O 0.0000 2.3146 0.0000
Tl 2.3146 2.3146 2.5215
F 0.0000 0.0000 2.5215
CELL_PARAMETERS angstrom
4.6293 0.0000 0.0000
0.0000 4.6293 0.0000
0.0000 0.0000 5.0431

! BaVOF4 (GGA-PBEsol, optimized geometry); values from VASP
! symmetry: No. 43
&SYSTEM
  ibrav = 0, nat = 28, ntyp = 4
/
ATOMIC_SPECIES
F 19.00 F.upf
Ba 137.33 Ba.upf
O 16.00 O.upf
V 50.94 V.upf
ATOMIC_POSITIONS angstrom
F 0.7128 -0.1777 9.9712
F 2.2885 3.3689 3.7927
F 2.5931 0.9107 12.9213
F -0.6392 2.3603 3.6250
F 1.1614 3.1235 8.2364
F -0.4644 -0.3184 3.2569
F 2.4633 0.6902 3.0893
F 2.2202 2.1852 10.5070
F 3.6094 -0.0451 0.8426
F -0.0913 0.9212 7.7245
F -1.1733 -2.2235 12.4095
F 0.1873 4.0397 5.5275
F 3.4346 2.6336 6.0394
F -1.9715 -0.1673 10.6746
F 0.3621 1.3610 1.3544
F -0.4642 2.1957 10.1389
Ba -1.2197 -1.3822 8.3824
Ba 1.4647 -1.3927 12.2634
Ba 1.0298 4.0449 1.5005
Ba 1.2046 1.3662 5.3814
O 3.3567 2.5555 1.2749
O 3.5315 -0.1231 5.6071
O 2.5200 0.8282 8.1568
O -0.1644 0.8386 12.4890
V -1.4327 1.3767 11.6445
V 3.9714 1.3226 2.1194
V 1.2517 1.3662 9.0013
V 3.7966 4.0013 4.7626
CELL_PARAMETERS angstrom
5.3687 -0.0208 0.0000
-0.3496 5.3574 0.0000
-2.5095 -2.6683 13.7639

! BaWO2F (GGA-PBEsol, optimized geometry); values from VASP
! symmetry: No. 123
&SYSTEM
  ibrav = 0, nat = 5, ntyp = 4
/
ATOMIC_SPECIES
Ba 137.33 Ba.upf
O 16.00 O.upf
W 183.84 W.upf
F 19.00 F.upf
ATOMIC_POSITIONS angstrom
Ba 0.0000 0.0000 0.0000
O 1.7133 1.5888 0.2156
O 0.0732 -0.3927 2.3123
W 0.1777 2.8850 2.8656
F -1.6088 1.6889 0.3378
CELL_PARAMETERS angstrom
-3.2175 3.3778 0.6755
0.1463 -0.7854 4.6245
3.4265 3.1777 0.4313

! BaZnOF2 (GGA-PBEsol, optimized geometry); values from VASP
! symmetry: No. 123
! distance to the lowest polymorph of the same formula: 0 meV per atom
&SYSTEM
  ibrav = 0, nat = 5, ntyp = 4
/
ATOMIC_SPECIES
Ba 137.33 Ba.upf
F 19.00 F.upf
Zn 65.41 Zn.upf
O 16.00 O.upf
ATOMIC_POSITIONS angstrom
Ba -2.6938 -0.3073 2.3092
F -0.0213 0.6958 1.9864
F -0.9095 -1.7945 0.6189
Zn 0.0000 0.0000 0.0000
O -1.7630 0.7914 -0.2961
CELL_PARAMETERS angstrom
-3.5260 1.5828 -0.5922
-1.8190 -3.5891 1.2378
-0.0425 1.3917 3.9728

! BaZnO2F (GGA-PBEsol, optimized geometry); values from VASP
! symmetry: No. 123
&SYSTEM
  ibrav = 0, nat = 5, ntyp = 4
/
ATOMIC_SPECIES
O 16.00 O.upf
Zn 65.41 Zn.upf
Ba 137.33 Ba.upf
F 19.00 F.upf
ATOMIC_POSITIONS angstrom
O -1.5295 1.1811 -0.3127
O -0.9619 -0.8552 1.4750
Zn 0.0000 0.0000 0.0000
Ba -1.6547 1.7766 2.5491
F 0.8368 1.4507 1.3867
CELL_PARAMETERS angstrom
-3.0591 2.3622 -0.6253
-1.9238 -1.7104 2.9501
1.6735 2.9014 2.7734

! BaZnOF2 (GGA-PBEsol, optimized geometry); values from VASP
! symmetry: No. 123
! distance to the lowest polymorph of the same formula: 1306 meV per atom
&SYSTEM
  ibrav = 0, nat = 5, ntyp = 4
/
ATOMIC_SPECIES
Ba 137.33 Ba.upf
F 19.00 F.upf
Zn 65.41 Zn.upf
O 16.00 O.upf
ATOMIC_POSITIONS angstrom
Ba 0.0000 0.0000 0.0000
F -0.9354 0.0243 -2.2743
F 1.4351 -1.9015 -0.6106
Zn -1.3040 -3.4712 -2.1601
O -1.8037 -1.5941 0.7248
CELL_PARAMETERS angstrom
-1.8708 0.0487 -4.5486
2.8702 -3.8030 -1.2212
-3.6075 -3.1882 1.4496

! BaOs2F2 (GGA-PBEsol, optimized geometry); values from VASP
! symmetry: No. 139
&SYSTEM
  ibrav = 0, nat = 5, ntyp = 3
/
ATOMIC_SPECIES
Os 190.23 Os.upf
F 19.00 F.upf
Ba 137.33 Ba.upf
ATOMIC_POSITIONS angstrom
Os -3.3386 -1.0695 1.9223
Os -2.3988 2.0347 -0.8077
F -3.2498 -0.4313 -0.6131
F -2.4876 1.3965 1.7277
Ba 0.0000 0.0000 0.0000
CELL_PARAMETERS angstrom
-0.7427 4.1488 1.0184
-2.2672 0.4933 -3.6631
-2.7276 -3.6769 3.7593

! Ba2PF (GGA-PBEsol, optimized geometry); values from VASP
! symmetry: No. 225
&SYSTEM
  ibrav = 0, nat = 4, ntyp = 3
/
ATOMIC_SPECIES
P 30.97 P.upf
Ba 137.33 Ba.upf
F 19.00 F.upf
ATOMIC_POSITIONS angstrom
P 5.2732 3.0445 2.1528
Ba 7.9098 4.5667 3.2292
Ba 2.6366 1.5222 1.0764
F 0.0000 0.0000 0.0000
CELL_PARAMETERS angstrom
5.2732 0.0000 0.0000
2.6366 4.5667 0.0000
2.6366 1.5222 4.3055

! BaTePF2 (GGA-PBEsol, optimized geometry); values from VASP
! symmetry: No. 123
&SYSTEM
  ibrav = 0, nat = 5, ntyp = 4
/
ATOMIC_SPECIES
F 19.00 F.upf
Ba 137.33 Ba.upf
P 30.97 P.upf
Te 127.60 Te.upf
ATOMIC_POSITIONS angstrom
F -1.0892 -0.3099 -2.0105
F 0.5134 -2.2486 0.0684
Ba 0.0000 0.0000 0.0000
P -3.0684 -0.6469 1.7620
Te -3.6442 -3.2054 -0.1801
CELL_PARAMETERS angstrom
-2.1783 -0.6198 -4.0210
1.0268 -4.4972 0.1369
-6.1368 -1.2938 3.5240

! Ba3PbF (GGA-PBEsol, optimized geometry); values from VASP
! symmetry: No. 221
&SYSTEM
  ibrav = 0, nat = 5, ntyp = 3
/
ATOMIC_SPECIES
F 19.00 F.upf
Ba 137.33 Ba.upf
Pb 207.20 Pb.upf
ATOMIC_POSITIONS angstrom
F 0.1397 2.2531 5.3307
Ba -0.0809 -1.7586 2.8410
Ba 2.4704 1.8820 1.2353
Ba -2.2498 2.1298 1.2543
Pb 0.0000 0.0000 0.0000
CELL_PARAMETERS angstrom
-4.4996 4.2595 2.5087
-0.1617 -3.5173 5.6820
4.9407 3.7641 2.4707

! Ba2TiPbF (GGA-PBEsol, optimized geometry); values from VASP
! symmetry: No. 123
&SYSTEM
  ibrav = 0, nat = 5, ntyp = 4
/
ATOMIC_SPECIES
Ba 137.33 Ba.upf
F 19.00 F.upf
Pb 207.20 Pb.upf
Ti 47.87 Ti.upf
ATOMIC_POSITIONS angstrom
Ba -1.1251 -2.9107 1.2527
Ba 2.2991 0.1650 2.4483
F -1.4928 1.1471 1.3245
Pb 0.0000 0.0000 0.0000
Ti -0.3188 -1.5986 5.0256
CELL_PARAMETERS angstrom
-2.9856 2.2942 2.6490
-2.2503 -5.8215 2.5055
4.5983 0.3301 4.8967

! BaPdF3 (GGA-PBEsol, optimized geometry); values from VASP
! symmetry: No. 221
&SYSTEM
  ibrav = 0, nat = 5, ntyp = 3
/
ATOMIC_SPECIES
Pd 106.42 Pd.upf
F 19.00 F.upf
Ba 137.33 Ba.upf
ATOMIC_POSITIONS angstrom
Pd 2.4895 2.4895 2.4895
F 0.0000 0.0000 2.4895
F 2.4895 0.0000 0.0000
F 0.0000 2.4895 0.0000
Ba 0.0000 0.0000 0.0000
CELL_PARAMETERS angstrom
4.9791 0.0000 0.0000
0.0000 4.9791 0.0000
0.0000 0.0000 4.9791

In eV/f.u., the energy values for the records above are, in order, -155.71, -42.90, -42.26, -42.32, -84.70, -23.03, -24.29, -48.66, -22.94, -47.32, -26.33, -26.16, -26.74, -19.63, -30.12, -19.44, -21.59, -15.09, -18.13, -22.45.
In eV/atom, the energy relative to the elements, uncorrected values for the records above are, in order, -2.984, -2.881, -2.521, -2.574, -2.600, -0.299, -2.402, -3.605, -1.147, -3.225, 0.410, -2.665, -2.116, -1.359, 0.062, -1.855, -1.253, -0.543, 0.083, -1.712.
In μB/f.u., the M_tot values for the records above are, in order, 0.00, 0.00, 0.00, 0.00, 0.00, 2.86, 0.19, 0.00, 0.32, 1.00, 3.41, 0.00, 0.00, 1.26, 1.13, 0.00, 0.55, 0.00, 4.02, 1.04.